# 1
Compound: K11Rb17Hg
Source: the Alexandria database
Functional: GGA-PBE
Structure: optimized geometry

## Properties
The value obtained for the energy of formation from the pure elements is -4 meV per atom. Its space group is No. 8. Its size of the total moment is 0.00 μB per cell. As for the calculated volume: 2339.4 Å³/cell.

The structure in POSCAR format:
```
K11Rb17Hg
1.0
8.354 -12.099 0.000
8.354 12.099 0.000
-8.241 0.000 11.573
K Rb Hg
11 17 1
Direct
0.000 0.000 0.000
0.067 0.894 0.653
0.072 0.437 0.798
0.236 0.412 0.339
0.264 0.629 0.186
0.412 0.236 0.339
0.437 0.072 0.798
0.452 0.634 0.990
0.629 0.264 0.186
0.634 0.452 0.990
0.894 0.067 0.653
0.259 0.940 0.395
0.261 0.660 0.662
0.266 0.266 0.632
0.275 0.892 0.994
0.279 0.279 0.994
0.554 0.856 0.597
0.588 0.980 0.318
0.597 0.597 0.712
0.627 0.627 0.355
0.660 0.261 0.662
0.662 0.950 0.989
0.856 0.554 0.597
0.877 0.877 0.274
0.892 0.275 0.994
0.940 0.259 0.395
0.950 0.662 0.989
0.980 0.588 0.318
0.813 0.813 0.688
```



# 2
Compound: K8Rb2Hg
Source: the Alexandria database
Functional: GGA-PBE
Structure: optimized geometry

## Properties
The value obtained for the energy of formation from the pure elements is -18 meV per atom. Its space group is No. 12. For the polymorph energy (0 for the lowest one), the calculation gives 12 meV per atom. Its size of the total moment is 0.00 μB per cell. As for the calculated volume: 772.6 Å³/cell.

The structure in POSCAR format:
```
K8Rb2Hg
1.0
10.955 -4.553 0.000
10.955 4.553 0.000
-2.361 0.000 7.744
K Rb Hg
8 2 1
Direct
0.119 0.119 0.925
0.187 0.688 0.663
0.245 0.245 0.553
0.312 0.813 0.337
0.688 0.187 0.663
0.755 0.755 0.447
0.813 0.312 0.337
0.881 0.881 0.075
0.347 0.347 0.121
0.653 0.653 0.879
0.500 0.500 0.000
```



# 3
Compound: KRb2Hg8
Source: the Alexandria database
Functional: GGA-PBE
Structure: optimized geometry

## Properties
The value obtained for the energy of formation from the pure elements is -208 meV per atom. Its space group is No. 12. Its size of the total moment is 0.00 μB per cell. As for the calculated volume: 388.4 Å³/cell.

The structure in POSCAR format:
```
KRb2Hg8
1.0
4.626 -9.225 0.000
4.626 9.225 0.000
-3.180 0.000 4.551
K Rb Hg
1 2 8
Direct
0.000 0.000 0.000
0.316 0.684 0.500
0.684 0.316 0.500
0.082 0.341 0.715
0.190 0.810 0.000
0.341 0.082 0.715
0.417 0.417 0.674
0.583 0.583 0.326
0.659 0.918 0.285
0.810 0.190 0.000
0.918 0.659 0.285
```



# 4
Compound: KRb7Hg3
Source: the Alexandria database
Functional: GGA-PBE
Structure: optimized geometry

## Properties
The value obtained for the energy of formation from the pure elements is -107 meV per atom. Its space group is No. 8. For the polymorph energy (0 for the lowest one), the calculation gives 0 meV per atom. Its size of the total moment is 0.00 μB per cell. As for the calculated volume: 708.1 Å³/cell.

The structure in POSCAR format:
```
KRb7Hg3
1.0
8.476 -4.719 0.000
8.476 4.719 0.000
-7.889 0.000 8.851
K Rb Hg
1 7 3
Direct
0.000 0.000 0.000
0.052 0.544 0.133
0.446 0.945 0.641
0.467 0.467 0.679
0.544 0.052 0.133
0.549 0.549 0.156
0.908 0.908 0.543
0.945 0.446 0.641
0.029 0.029 0.325
0.044 0.380 0.352
0.380 0.044 0.352
```



# 5
Compound: K5RbHg2
Source: the Alexandria database
Functional: GGA-PBE
Structure: optimized geometry

## Properties
The value obtained for the energy of formation from the pure elements is -103 meV per atom. Its space group is No. 71. Its size of the total moment is 0.00 μB per cell. As for the calculated volume: 442.9 Å³/cell.

The structure in POSCAR format:
```
K5RbHg2
1.0
-2.918 5.593 6.784
2.918 -5.593 6.784
2.918 5.593 -6.784
K Rb Hg
5 1 2
Direct
0.000 0.000 0.000
0.023 0.335 0.688
0.354 0.665 0.688
0.646 0.335 0.312
0.977 0.665 0.312
0.500 0.000 0.500
0.265 0.265 0.000
0.735 0.735 0.000
```



# 6
Compound: K3RbHg4
Source: the Alexandria database
Functional: GGA-PBE
Structure: optimized geometry

## Properties
The value obtained for the energy of formation from the pure elements is -208 meV per atom. Its space group is No. 51. Its size of the total moment is 0.00 μB per cell. As for the calculated volume: 637.5 Å³/cell.

The structure in POSCAR format:
```
K3RbHg4
1.0
11.909 0.000 0.000
0.000 8.270 0.000
0.000 0.000 6.474
K Rb Hg
6 2 8
Direct
0.000 0.000 0.000
0.250 0.000 0.370
0.250 0.500 0.465
0.500 0.000 0.000
0.750 0.000 0.630
0.750 0.500 0.535
0.000 0.500 0.000
0.500 0.500 0.000
0.000 0.208 0.500
0.000 0.792 0.500
0.250 0.193 0.846
0.250 0.807 0.846
0.500 0.208 0.500
0.500 0.792 0.500
0.750 0.193 0.154
0.750 0.807 0.154
```